DFT (GGA+U) results for a relaxed Cr3RhO crystal.

Summary:
space group = Pm-3m, No. 221
energy above the most stable polymorph in this dataset = 0.000 eV/atom
ρ = 6.24 g/cm³
crystal system = cubic

Cell: 4.183 4.183 4.183 Å, 90.00 90.00 90.00°
Positions (direct):
Cr: 0.000 0.000 0.500
Cr: 0.000 0.500 0.000
Cr: 0.500 0.000 0.000
Rh: 0.500 0.500 0.500
O: 0.000 0.000 0.000